Below is a relaxed CaDy6Ho5 crystal, with properties calculated at the PBE level.

Structure (POSCAR):
```
CaDy6Ho5
1.0
3.081 -5.334 0.000
3.081 5.334 0.000
-2.049 0.000 11.584
Ca Dy Ho
1 6 5
Direct
0.000 0.000 0.000
0.085 0.424 0.253
0.255 0.255 0.746
0.424 0.085 0.253
0.576 0.915 0.747
0.745 0.745 0.254
0.915 0.576 0.747
0.166 0.834 0.500
0.333 0.667 0.000
0.500 0.500 0.500
0.667 0.333 0.000
0.834 0.166 0.500
```

Summary:
The formation energy from the elements comes out at 0.05 eV/atom.

=====

Below is a relaxed RbCd2PbCl8 crystal, with properties calculated at the PBE level.

Structure (POSCAR):
```
RbCd2PbCl8
1.0
6.636 0.000 0.000
1.282 6.528 0.000
1.744 1.509 9.006
Rb Cd Pb Cl
1 2 1 8
Direct
0.000 0.000 0.000
0.450 0.447 0.221
0.550 0.553 0.779
0.000 0.000 0.500
0.181 0.729 0.727
0.260 0.809 0.278
0.278 0.264 0.473
0.339 0.320 0.012
0.661 0.680 0.988
0.722 0.736 0.527
0.740 0.191 0.722
0.819 0.271 0.273
```

Summary:
The uncorrected formation energy comes out at -1.10 eV/atom.

=====

| no. | calculated density (g/cm3) |
| --- | --- |
| 1 | 8.024 |
| 2 | 3.410 |